[1]
Compound: KTbCoO3
Source: OQMD via LeMat-Bulk
Functional: GGA+U
Structure: optimized geometry

Cell: 3.516 11.749 9.154 Å, 90.00 90.00 90.00°
Space group Cmcm (No. 63)
Symmetry-distinct sites (fractional):
K 0.000 0.226 0.250
Tb 0.000 0.500 0.000
Co 0.000 0.049 0.750
O 0.000 0.116 0.561
O 0.000 0.457 0.750

VASP energy   -6.365 eV per atom

---

[2]
Compound: KCoTeO
Source: OQMD via LeMat-Bulk
Functional: GGA+U
Structure: optimized geometry

Cell: 4.069 4.069 11.367 Å, 90.00 90.00 90.00°
Space group P4/nmm (No. 129, origin choice 2)
Symmetry-distinct sites (fractional):
K 0.250 0.750 0.000
Co 0.250 0.250 0.467
Te 0.250 0.250 0.229
O 0.250 0.750 0.500

VASP energy   -3.704 eV per atom

---

[3]
Compound: KCoTeO
Source: OQMD via LeMat-Bulk
Functional: GGA+U
Structure: optimized geometry

Cell: 3.957 8.030 6.548 Å, 90.00 90.00 90.00°
Space group Pmc2_1 (No. 26)
Symmetry-distinct sites (fractional):
K 0.000 0.228 0.000
Co 0.500 0.419 0.402
Te 0.000 0.214 0.495
O 0.500 0.436 0.120

VASP energy   -4.264 eV per atom

---

[4]
Compound: KTmCoO3
Source: OQMD via LeMat-Bulk
Functional: GGA+U
Structure: optimized geometry

Cell: 3.454 11.855 8.932 Å, 90.00 90.00 90.00°
Space group Cmcm (No. 63)
Symmetry-distinct sites (fractional):
K 0.000 0.220 0.250
Tm 0.000 0.500 0.000
Co 0.000 0.056 0.750
O 0.000 0.115 0.552
O 0.000 0.463 0.750

VASP energy   -6.388 eV per atom

---

[5]
Compound: KYCoO3
Source: OQMD via LeMat-Bulk
Functional: GGA+U
Structure: optimized geometry

Cell: 3.506 11.771 9.130 Å, 90.00 90.00 90.00°
Space group Cmcm (No. 63)
Symmetry-distinct sites (fractional):
K 0.000 0.225 0.250
Y 0.000 0.500 0.000
Co 0.000 0.051 0.750
O 0.000 0.116 0.559
O 0.000 0.459 0.750

VASP energy   -6.666 eV per atom